Material: AgBr
Method: DFT, GGA-PBE
State: optimized geometry

Results
The magnetic moment comes out at 0.00 μB/cell. Its crystal system is monoclinic. The value obtained for the electronic total energy is -2.533 eV/atom. The uncorrected formation energy is -271 meV/atom.

Lattice parameters (Å, degrees): 7.4406 7.4406 3.9721 93.74 93.74 30.63
With the nearest neighbours (Å) after each atom.
Element x y z (fractional)
Ag  0.1785  0.1785  0.3241  5 Br 2.85-2.91, 2 Ag 3.11
Ag  0.8215  0.8215  0.6759  5 Br 2.85-2.91, 2 Ag 3.11
Br  0.3713  0.3713  0.1983  5 Ag 2.85-2.91
Br  0.6287  0.6287  0.8017  5 Ag 2.85-2.91